A geometry-optimized NaErSnF6 structure. Source: Alexandria via LeMat-Bulk, functional PBE.

Cell and atoms, written as CIF:
```
data_NaErSnF6
_cell_length_a 5.307
_cell_length_b 5.307
_cell_length_c 11.008
_cell_angle_alpha 90.00
_cell_angle_beta 90.00
_cell_angle_gamma 90.00
_space_group_name_H-M_alt 'P 42 n m'
_space_group_IT_number 102
loop_
_space_group_symop_operation_xyz
'x,y,z'
'-y+1/2,x+1/2,z+1/2'
'-x,-y,z'
'y+1/2,-x+1/2,z+1/2'
'-x+1/2,y+1/2,z+1/2'
'y,x,z'
'x+1/2,-y+1/2,z+1/2'
'-y,-x,z'
loop_
_atom_site_label
_atom_site_type_symbol
_atom_site_fract_x
_atom_site_fract_y
_atom_site_fract_z
Na1 Na 0.000 0.000 0.000
Er1 Er 0.000 0.000 0.666
Sn1 Sn 0.000 0.000 0.330
F1 F 0.185 0.185 0.819
F2 F 0.195 0.195 0.523
F3 F 0.207 0.207 0.171
```

Properties
E_form (uncorrected) = -3.20 eV/atom
crystal system = tetragonal
VASP energy = -5.543 eV/atom
magnetization = 0.0 μB per cell


A geometry-optimized NaErTlF6 structure. Source: Alexandria via LeMat-Bulk, functional PBE.

Cell and atoms, written as CIF:
```
data_NaErTlF6
_cell_length_a 6.1276
_cell_length_b 6.1276
_cell_length_c 9.3079
_cell_angle_alpha 90.00
_cell_angle_beta 90.00
_cell_angle_gamma 120.00
_space_group_name_H-M_alt 'P -3 1 c'
_space_group_IT_number 163
_space_group_name_Hall '-P 3 2c'
loop_
_atom_site_label
_atom_site_type_symbol
_atom_site_fract_x
_atom_site_fract_y
_atom_site_fract_z
Na1 Na 0.0000 0.0000 0.0000
Er1 Er 0.3333 0.6667 0.2500
Tl1 Tl 0.3333 0.6667 0.7500
F1 F 0.0319 0.3606 0.1283
```

Properties
E_form (uncorrected) = -2.95 eV/atom
crystal system = trigonal
VASP energy = -5.111 eV/atom
magnetization = 1.3 μB per cell


A geometry-optimized Nd2ErF11 structure. Source: Alexandria via LeMat-Bulk, functional PBE.

Cell and atoms, written as CIF:
```
data_Nd2ErF11
_cell_length_a 8.678
_cell_length_b 10.434
_cell_length_c 11.239
_cell_angle_alpha 90.00
_cell_angle_beta 90.00
_cell_angle_gamma 90.00
_space_group_name_H-M_alt 'I b a m'
_space_group_IT_number 72
_space_group_name_Hall '-I 2 2c'
loop_
_atom_site_label
_atom_site_type_symbol
_atom_site_fract_x
_atom_site_fract_y
_atom_site_fract_z
Nd1 Nd 0.165 0.191 0.000
Er1 Er 0.000 0.500 0.250
F1 F 0.000 0.000 0.000
F2 F 0.098 0.333 0.148
F3 F 0.106 0.187 0.500
F4 F 0.195 0.427 0.364
```

Properties
E_form (uncorrected) = -3.41 eV/atom
crystal system = orthorhombic
VASP energy = -5.891 eV/atom
magnetization = 8.4 μB per cell


Q: Which of these has the lowest magnetization?
A: NaErSnF6